[1]
## BePIO2 (PBE-GGA)

Data for BePIO2 after structural relaxation. Values from VASP.

Structure (Quantum ESPRESSO input):
```
&SYSTEM
  ibrav = 0, nat = 5, ntyp = 4
/
ATOMIC_SPECIES
Be 9.01 Be.upf
P 30.97 P.upf
I 126.90 I.upf
O 16.00 O.upf
CELL_PARAMETERS angstrom
3.583 0.000 0.000
0.000 3.583 0.000
0.000 0.000 6.655
ATOMIC_POSITIONS angstrom
Be 0.000 0.000 0.000
P 1.791 1.791 3.327
I 0.000 0.000 3.327
O 0.000 1.791 0.000
O 1.791 0.000 0.000
```

[2]
## BeP2IO (PBE-GGA)

Data for BeP2IO after structural relaxation. Values from VASP.

Structure (Quantum ESPRESSO input):
```
&SYSTEM
  ibrav = 0, nat = 5, ntyp = 4
/
ATOMIC_SPECIES
Be 9.01 Be.upf
P 30.97 P.upf
I 126.90 I.upf
O 16.00 O.upf
CELL_PARAMETERS angstrom
5.135 0.000 0.000
0.000 5.135 0.000
0.000 0.000 3.884
ATOMIC_POSITIONS angstrom
Be 0.000 0.000 0.000
P 0.000 2.567 1.942
P 2.567 0.000 1.942
I 2.567 2.567 1.942
O 2.567 2.567 0.000
```

[3]
## BeP2IO (PBE-GGA)

Data for BeP2IO after structural relaxation. Values from VASP.

Structure (Quantum ESPRESSO input):
```
&SYSTEM
  ibrav = 0, nat = 5, ntyp = 4
/
ATOMIC_SPECIES
Be 9.01 Be.upf
P 30.97 P.upf
I 126.90 I.upf
O 16.00 O.upf
CELL_PARAMETERS angstrom
4.978 0.000 0.000
0.000 4.978 0.000
0.000 0.000 3.181
ATOMIC_POSITIONS angstrom
Be 0.000 0.000 0.000
P 0.000 2.489 0.000
P 2.489 0.000 0.000
I 2.489 2.489 1.590
O 0.000 0.000 1.590
```

[4]
## BePIO2 (PBE-GGA)

Data for BePIO2 after structural relaxation. Values from VASP.

Structure (Quantum ESPRESSO input):
```
&SYSTEM
  ibrav = 0, nat = 5, ntyp = 4
/
ATOMIC_SPECIES
Be 9.01 Be.upf
P 30.97 P.upf
I 126.90 I.upf
O 16.00 O.upf
CELL_PARAMETERS angstrom
3.916 0.000 0.000
0.000 3.916 0.000
0.000 0.000 5.550
ATOMIC_POSITIONS angstrom
Be 0.000 0.000 0.000
P 1.958 1.958 0.000
I 1.958 1.958 2.775
O 0.000 1.958 2.775
O 1.958 0.000 2.775
```

[5]
## PaBeIO6 (PBE-GGA)

Data for PaBeIO6 after structural relaxation. Values from VASP.

Structure (Quantum ESPRESSO input):
```
&SYSTEM
  ibrav = 0, nat = 18, ntyp = 4
/
ATOMIC_SPECIES
Pa 231.04 Pa.upf
Be 9.01 Be.upf
I 126.90 I.upf
O 16.00 O.upf
CELL_PARAMETERS angstrom
5.110 0.000 0.000
-2.555 4.425 0.000
0.000 0.000 9.693
ATOMIC_POSITIONS angstrom
Pa 0.000 0.000 0.000
Pa 0.000 0.000 4.847
Be 0.000 2.950 2.423
Be 2.555 1.475 7.270
I 0.000 2.950 7.270
I 2.555 1.475 2.423
O -0.774 1.600 1.324
O -1.557 2.955 3.522
O 0.774 1.600 3.522
O -0.782 4.296 1.324
O 1.773 0.129 6.171
O 0.999 1.471 8.369
O 1.556 2.955 1.324
O 0.782 4.296 3.522
O 3.337 0.129 8.369
O 1.781 2.825 6.171
O 4.112 1.471 6.171
O 3.330 2.825 8.369
```

[6]
## BePbIO2 (PBE-GGA)

Data for BePbIO2 after structural relaxation. Values from VASP.

Structure (Quantum ESPRESSO input):
```
&SYSTEM
  ibrav = 0, nat = 5, ntyp = 4
/
ATOMIC_SPECIES
Be 9.01 Be.upf
Pb 207.20 Pb.upf
I 126.90 I.upf
O 16.00 O.upf
CELL_PARAMETERS angstrom
4.153 0.000 0.000
0.000 4.153 0.000
0.000 0.000 7.124
ATOMIC_POSITIONS angstrom
Be 0.000 0.000 0.000
Pb 2.076 2.076 3.562
I 2.076 2.076 0.000
O 0.000 2.076 3.562
O 2.076 0.000 3.562
```

Number 1: density of states at the Fermi level 5.57 states/eV/f.u., E -3.97 eV per atom. Number 2: density of states at the Fermi level 2.63 states/eV/f.u., E -2.90 eV per atom. Number 3: density of states at the Fermi level 2.92 states/eV/f.u., E -3.98 eV per atom. Number 4: density of states at the Fermi level 0.95 states/eV/f.u., E -3.57 eV per atom. Number 5: density of states at the Fermi level 0.00 states/eV/f.u., E -6.81 eV per atom. Number 6: density of states at the Fermi level 2.61 states/eV/f.u., E -3.57 eV per atom.